1.
Below is a geometry-optimized AcHg3Au3 structure, with properties calculated at the PBE level.

Computed properties:
As for the space group: No. 11. Its formation energy is -0.31 eV/atom. Its magnetization is 0.00 μB per atom.

```
AcHg3Au3
1.0
9.282 0.000 0.000
0.000 4.671 0.000
-4.636 0.000 8.069
Ac Hg Au
2 6 6
Cartesian
0.004 1.168 2.685
4.642 3.504 5.383
-2.129 1.168 7.893
-0.919 3.504 6.125
3.422 3.504 1.776
1.224 1.168 6.293
5.565 1.168 1.944
6.775 3.504 0.176
-2.447 1.168 4.927
0.709 3.504 0.557
1.483 3.504 4.368
3.163 1.168 3.701
3.938 1.168 7.511
7.093 3.504 3.141
```

---

2.
Below is a geometry-optimized LiTi8O16 structure, with properties calculated at the PBE level.

Computed properties:
As for the space group: No. 36. The value obtained for the formation energy from raw total energies is -2.934 eV per atom. Its magnetization is 0.03 μB per atom.

```
LiTi8O16
1.0
5.961 -5.005 0.000
5.961 5.005 0.000
0.000 0.000 9.632
Li Ti O
2 16 32
Cartesian
5.961 3.408 4.816
5.961 -3.408 0.000
1.493 1.018 3.827
2.977 1.547 6.548
5.961 3.431 1.710
1.493 -1.018 8.643
4.449 0.971 3.967
5.961 1.342 6.671
2.977 -1.547 1.732
4.449 -0.971 8.783
7.473 0.971 3.967
8.945 1.547 6.548
5.961 -1.342 1.855
7.473 -0.971 8.783
10.428 1.018 3.827
5.961 -3.431 6.526
8.945 -1.547 1.732
10.428 -1.018 8.643
5.961 4.731 0.075
2.983 2.060 3.040
1.485 0.446 7.440
4.474 2.735 0.761
4.512 2.252 5.577
1.485 -0.446 2.624
5.961 2.907 7.847
2.962 0.284 4.910
2.962 -0.284 0.094
5.961 2.144 3.151
4.447 0.416 7.432
7.448 2.735 0.761
7.410 2.252 5.577
4.447 -0.416 2.615
2.983 -2.060 7.856
5.961 0.223 4.920
5.961 -0.223 0.104
8.938 2.060 3.040
7.475 0.416 7.432
4.512 -2.252 0.761
4.474 -2.735 5.577
7.475 -0.416 2.615
5.961 -2.144 7.967
8.959 0.284 4.910
8.959 -0.284 0.094
5.961 -2.907 3.031
10.437 0.446 7.440
7.410 -2.252 0.761
7.448 -2.735 5.577
10.437 -0.446 2.624
8.938 -2.060 7.856
5.961 -4.731 4.891
```

---

3.
Below is a geometry-optimized Y4CuPd3 structure, with properties calculated at the PBE level.

Computed properties:
As for the space group: No. 25. Its formation energy is -0.75 eV/atom. Its magnetization is 0.00 μB per atom.

```
Y4CuPd3
1.0
3.763 0.000 0.000
0.000 4.561 0.000
0.000 0.000 10.530
Y Cu Pd
4 1 3
Cartesian
0.000 0.000 0.000
0.000 2.280 2.909
1.881 0.000 5.251
1.881 2.280 8.170
0.000 0.000 7.524
0.000 2.280 5.907
1.881 0.000 2.353
1.881 2.280 0.539
```

---

4.
Below is a geometry-optimized TaCuW3 structure, with properties calculated at the PBE level.

Computed properties:
As for the space group: No. 221. Its formation energy is 1.67 eV/atom. Its magnetization is 0.00 μB per atom.

```
TaCuW3
1.0
4.497 0.000 0.000
0.000 4.497 0.000
0.000 0.000 4.497
Ta Cu W
1 1 3
Cartesian
0.000 0.000 0.000
2.249 2.249 2.249
0.000 2.249 2.249
2.249 0.000 2.249
2.249 2.249 0.000
```